No. 1
Compound: HgBr2Cl
Source: Alexandria
Functional: meta-GGA SCAN
Structure: single point on PBEsol structure

formation energy from raw total energies: -0.16 eV per formula unit
energy above the lowest structure with this stoichiometry: 93 meV/atom
total energy: -28.80 eV/atom
space group: No. 71

a = 3.7633 Å, b = 5.1874 Å, c = 10.3494 Å
α = 90.00°, β = 90.00°, γ = 90.00°
Last column: nearest neighbours and their distance in Å.
Fractional coordinates of all 8 atoms:
Hg1 0.0000 0.0000 0.0000  4 Br 2.71
Hg2 0.5000 0.5000 0.5000  4 Br 2.71
Br1 0.0000 0.5000 0.3112  2 Hg 2.71
Br2 0.0000 0.5000 0.6888  2 Hg 2.71
Br3 0.5000 0.0000 0.1888  2 Hg 2.71
Br4 0.5000 0.0000 0.8112  2 Hg 2.71
Cl1 0.0000 0.0000 0.5000  4 Hg 3.20, 4 Br 3.25
Cl2 0.5000 0.5000 0.0000  4 Hg 3.20, 4 Br 3.25

No. 2
Compound: HgBrCl
Source: Alexandria
Functional: meta-GGA SCAN
Structure: single point on PBEsol structure

formation energy from raw total energies: -1.64 eV per formula unit
total energy: -32.41 eV/atom
space group: No. 11

a = 6.2097 Å, b = 4.4075 Å, c = 6.6616 Å
α = 90.00°, β = 100.59°, γ = 90.00°
Last column: nearest neighbours and their distance in Å.
Fractional coordinates of all 6 atoms:
Hg1 0.0010 0.2500 0.2493  1 Cl 2.38, 1 Br 2.50
Hg2 0.9990 0.7500 0.7507  1 Cl 2.38, 1 Br 2.50
Br1 0.2649 0.2500 0.5808  1 Hg 2.50
Br2 0.7351 0.7500 0.4192  1 Hg 2.50
Cl1 0.2386 0.7500 0.0743  1 Hg 2.38
Cl2 0.7614 0.2500 0.9257  1 Hg 2.38

No. 3
Compound: Hg11I2BrClO4
Source: Alexandria
Functional: meta-GGA SCAN
Structure: single point on PBEsol structure

formation energy from raw total energies: -6.13 eV per formula unit
total energy: -46.41 eV/atom
space group: No. 1

a = 6.5056 Å, b = 6.9796 Å, c = 10.5109 Å
α = 100.53°, β = 93.70°, γ = 92.09°
Last column: nearest neighbours and their distance in Å.
Fractional coordinates of all 19 atoms:
Hg1 0.0000 0.0000 0.0000  1 O 2.14
Hg2 0.0005 0.4961 0.1790  1 O 2.16
Hg3 0.1052 0.5231 0.5337  1 O 2.17
Hg4 0.2052 0.7484 0.8553  1 O 2.17
Hg5 0.2703 0.7869 0.2117  1 O 2.15
Hg6 0.3078 0.2783 0.3843  1 O 2.14
Hg7 0.4229 0.3000 0.8532  1 O 2.21
Hg8 0.4755 0.1566 0.0620  1 O 2.20
Hg9 0.6555 0.6353 0.6940  2 O 2.05
Hg10 0.8273 0.1033 0.3196  1 O 2.20
Hg11 0.8858 0.9550 0.5253  1 O 2.20
I1 0.3940 0.9787 0.5946  5 Hg 3.18-3.35, 1 O 3.49
I2 0.9178 0.2885 0.7898  7 Hg 3.27-3.65, 1 O 3.49
Br1 0.6423 0.7231 0.0393  5 Hg 3.07-3.36, 1 O 3.29
Cl1 0.6831 0.5107 0.3715  4 Hg 2.91-3.13, 1 O 3.23
O1 0.3747 0.5301 0.7370  3 Hg 2.05-2.21
O2 0.4434 0.0625 0.2484  3 Hg 2.14-2.20
O3 0.8527 0.2077 0.1362  3 Hg 2.14-2.20
O4 0.9371 0.7423 0.6532  3 Hg 2.05-2.20

No. 4
Compound: Hg6S4Br3Cl
Source: Alexandria
Functional: meta-GGA SCAN
Structure: single point on PBEsol structure

formation energy from raw total energies: -5.14 eV per formula unit
total energy: -37.07 eV/atom
space group: No. 12

a = 10.0607 Å, b = 10.0607 Å, c = 10.3330 Å
α = 113.12°, β = 113.12°, γ = 53.55°
Last column: nearest neighbours and their distance in Å.
Fractional coordinates of all 28 atoms:
Hg1 0.0747 0.0747 0.2219  2 S 2.41
Hg2 0.1344 0.6043 0.4967  2 S 2.41
Hg3 0.1985 0.6523 0.2026  2 S 2.42
Hg4 0.2194 0.2194 0.7897  2 S 2.42
Hg5 0.3477 0.8015 0.7974  2 S 2.42
Hg6 0.3957 0.8656 0.5033  2 S 2.41
Hg7 0.6043 0.1344 0.4967  2 S 2.41
Hg8 0.6523 0.1985 0.2026  2 S 2.42
Hg9 0.7806 0.7806 0.2103  2 S 2.42
Hg10 0.8015 0.3477 0.7974  2 S 2.42
Hg11 0.8656 0.3957 0.5033  2 S 2.41
Hg12 0.9253 0.9253 0.7781  2 S 2.41
S1 0.0647 0.5371 0.2373  3 Hg 2.41-2.42
S2 0.1957 0.6671 0.7561  3 Hg 2.41-2.42
S3 0.3329 0.8043 0.2439  3 Hg 2.41-2.42
S4 0.4629 0.9353 0.7627  3 Hg 2.41-2.42
S5 0.5371 0.0647 0.2373  3 Hg 2.41-2.42
S6 0.6671 0.1957 0.7561  3 Hg 2.41-2.42
S7 0.8043 0.3329 0.2439  3 Hg 2.41-2.42
S8 0.9353 0.4629 0.7627  3 Hg 2.41-2.42
Br1 0.0000 0.0000 0.5000  10 Hg 3.35-3.71
Br2 0.1224 0.1224 0.9879  5 Hg 2.90-3.24
Br3 0.2470 0.2470 0.5025  6 Hg 3.08-3.22
Br4 0.5000 0.5000 0.5000  8 Hg 3.16-3.44
Br5 0.7530 0.7530 0.4975  6 Hg 3.08-3.22
Br6 0.8776 0.8776 0.0121  5 Hg 2.90-3.24
Cl1 0.3784 0.3784 0.0039  3 Hg 2.74-2.76
Cl2 0.6216 0.6216 0.9961  3 Hg 2.74-2.76

no.,DOS(E_F) (states/eV per cell)
1,8.340
2,0.000
3,0.000
4,0.000